(1)
The following is a GGA-PBE calculation of a relaxed structure of TbAgPbSe3, from OQMD via LeMat-Bulk.

Results
Relative energy among the computed polymorphs (meV per atom): 0.0

a b c (Å): 13.7818 4.1489 10.9901
angles (deg): 90.00 90.00 90.00
Space group Pnma (No. 62)
Asymmetric unit:
Tb1 0.0154 0.2500 0.1715 [4 per cell]
Ag1 0.0087 0.7500 0.4101 [4 per cell]
Pb1 0.2259 0.2500 0.4580 [4 per cell]
Se1 0.1066 0.2500 0.9357 [4 per cell]
Se2 0.1188 0.7500 0.6258 [4 per cell]
Se3 0.1497 0.7500 0.2455 [4 per cell]

(2)
The following is a GGA-PBE calculation of a relaxed structure of TbAgPbSe3, from OQMD via LeMat-Bulk.

Results
Relative energy among the computed polymorphs (meV per atom): 3.3

a b c (Å): 7.8370 4.1402 10.1058
angles (deg): 90.00 105.96 90.00
Space group P2_1/m (No. 11)
Asymmetric unit:
Tb1 0.1952 0.2500 0.1599 [2 per cell]
Ag1 0.4094 0.7500 0.4075 [2 per cell]
Pb1 0.2386 0.7500 0.7010 [2 per cell]
Se1 0.0716 0.2500 0.8633 [2 per cell]
Se2 0.2078 0.2500 0.4555 [2 per cell]
Se3 0.4489 0.7500 0.1573 [2 per cell]

(3)
The following is a GGA-PBE calculation of a relaxed structure of TbAgPbSe3, from OQMD via LeMat-Bulk.

Results
Relative energy among the computed polymorphs (meV per atom): 7.7

a b c (Å): 10.7929 4.1585 13.7469
angles (deg): 90.00 90.00 90.00
Space group Pnma (No. 62)
Asymmetric unit:
Tb1 0.0161 0.2500 0.2436 [4 per cell]
Ag1 0.2389 0.2500 0.7191 [4 per cell]
Pb1 0.2264 0.7500 0.5086 [4 per cell]
Se1 0.0368 0.2500 0.6110 [4 per cell]
Se2 0.0706 0.7500 0.1032 [4 per cell]
Se3 0.2363 0.7500 0.8416 [4 per cell]

These records have magnetic moment values of 0.01; 0.01; 0.01 μB per cell, in the order they appear.